# 1
An optimized crystal structure of GaMo2Br2. Source: Alexandria via LeMat-Bulk, functional PBE-GGA.

Values from the calculation:
Formation energy from raw total energies, eV per atom: 1.008
Offset from the most stable computed form, meV per atom: 264
Spin magnetization, μB per formula unit: 2.0

Structure (CIF):
```
data_GaMo2Br2
_chemical_formula_sum 'Ga2 Mo4 Br4'
_symmetry_space_group_name_H-M 'P 4/m b m'
_symmetry_Int_Tables_number 127
_symmetry_space_group_name_Hall '-P 4 2ab'
_cell_length_a 7.9740
_cell_length_b 7.9740
_cell_length_c 2.9809
_cell_angle_alpha 90.00
_cell_angle_beta 90.00
_cell_angle_gamma 90.00
loop_
_atom_site_label
_atom_site_type_symbol
_atom_site_fract_x
_atom_site_fract_y
_atom_site_fract_z
_atom_site_occupancy
Ga1 Ga 0.0000 0.0000 0.0000 1
Mo1 Mo 0.1830 0.3170 0.5000 1
Br1 Br 0.1315 0.6315 0.0000 1
```



# 2
An optimized crystal structure of GaMo2Br. Source: Alexandria via LeMat-Bulk, functional PBE-GGA.

Values from the calculation:
Formation energy from raw total energies, eV per atom: 0.795
Offset from the most stable computed form, meV per atom: 68
Spin magnetization, μB per formula unit: 0.0

Structure (CIF):
```
data_GaMo2Br
_chemical_formula_sum 'Ga4 Mo8 Br4'
_symmetry_space_group_name_H-M 'I -4 2 d'
_symmetry_Int_Tables_number 122
_symmetry_space_group_name_Hall 'I -4 2bw'
_cell_length_a 3.9926
_cell_length_b 3.9926
_cell_length_c 19.2369
_cell_angle_alpha 90.00
_cell_angle_beta 90.00
_cell_angle_gamma 90.00
loop_
_atom_site_label
_atom_site_type_symbol
_atom_site_fract_x
_atom_site_fract_y
_atom_site_fract_z
_atom_site_occupancy
Ga1 Ga 0.0000 0.0000 0.0000 1
Mo1 Mo 0.1920 0.2500 0.1250 1
Br1 Br 0.0000 0.0000 0.5000 1
```



# 3
An optimized crystal structure of Ga2NiMoBr. Source: Alexandria via LeMat-Bulk, functional PBE-GGA.

Values from the calculation:
Formation energy from raw total energies, eV per atom: 0.954
Spin magnetization, μB per formula unit: 1.0

Structure (CIF):
```
data_Ga2NiMoBr
_chemical_formula_sum 'Ga2 Ni1 Mo1 Br1'
_symmetry_space_group_name_H-M 'P 4/m m m'
_symmetry_Int_Tables_number 123
_symmetry_space_group_name_Hall '-P 4 2'
_cell_length_a 5.0386
_cell_length_b 5.0386
_cell_length_c 4.7856
_cell_angle_alpha 90.00
_cell_angle_beta 90.00
_cell_angle_gamma 90.00
loop_
_atom_site_label
_atom_site_type_symbol
_atom_site_fract_x
_atom_site_fract_y
_atom_site_fract_z
_atom_site_occupancy
Ga1 Ga 0.0000 0.5000 0.0000 1
Ni1 Ni 0.0000 0.0000 0.5000 1
Mo1 Mo 0.5000 0.5000 0.0000 1
Br1 Br 0.5000 0.5000 0.5000 1
```